Record 1
Entry from Alexandria via LeMat-Bulk: a relaxed structure of K2GeSe2 (PBE).

The structure in POSCAR format:
```
K2GeSe2
1.0
9.694 0.000 0.000
0.000 8.808 0.000
-2.113 0.000 8.103
K Ge Se
8 4 8
direct
0.070 0.229 0.035
0.070 0.271 0.535
0.333 0.678 0.996
0.333 0.822 0.496
0.667 0.178 0.504
0.667 0.322 0.004
0.930 0.729 0.465
0.930 0.771 0.965
0.353 0.110 0.892
0.353 0.390 0.392
0.647 0.610 0.608
0.647 0.890 0.108
0.139 0.549 0.262
0.139 0.951 0.762
0.436 0.008 0.192
0.436 0.492 0.692
0.564 0.508 0.308
0.564 0.992 0.808
0.861 0.049 0.238
0.861 0.451 0.738
```

Properties
- energy relative to the elements, uncorrected (eV per atom) = -0.83
- E_tot (eV per atom) = -3.589
- symmetry = P2_1/c

***

Record 2
Entry from Alexandria via LeMat-Bulk: a relaxed structure of KGeSe (PBE).

The structure in POSCAR format:
```
KGeSe
1.0
3.789 0.000 0.000
0.000 5.388 0.000
-0.676 0.000 8.416
K Ge Se
2 2 2
direct
0.087 0.250 0.158
0.913 0.750 0.842
0.091 0.750 0.443
0.909 0.250 0.557
0.413 0.250 0.778
0.587 0.750 0.222
```

Properties
- energy relative to the elements, uncorrected (eV per atom) = -0.53
- E_tot (eV per atom) = -3.597
- symmetry = P2_1/m

***

Record 3
Entry from Alexandria via LeMat-Bulk: a relaxed structure of KGeSe (PBE).

The structure in POSCAR format:
```
KGeSe
1.0
4.364 0.000 0.000
1.366 5.710 0.000
1.120 2.512 8.063
K Ge Se
2 2 2
direct
0.000 0.000 0.000
0.081 0.329 0.387
0.464 0.691 0.594
0.937 0.616 0.765
0.484 0.808 0.296
0.573 0.038 0.689
```

Properties
- energy relative to the elements, uncorrected (eV per atom) = -0.60
- E_tot (eV per atom) = -3.667
- symmetry = P1

***

Record 4
Entry from Alexandria via LeMat-Bulk: a relaxed structure of K3Ge2Se4 (PBE).

The structure in POSCAR format:
```
K3Ge2Se4
1.0
6.531 -5.601 0.000
6.531 5.601 0.000
-1.284 0.000 8.300
K Ge Se
6 4 8
direct
0.117 0.883 0.750
0.231 0.488 0.372
0.488 0.231 0.872
0.512 0.769 0.128
0.769 0.512 0.628
0.883 0.117 0.250
0.075 0.319 0.912
0.319 0.075 0.412
0.681 0.925 0.588
0.925 0.681 0.088
0.126 0.225 0.602
0.204 0.567 0.979
0.225 0.126 0.102
0.433 0.796 0.521
0.567 0.204 0.479
0.775 0.874 0.898
0.796 0.433 0.021
0.874 0.775 0.398
```

Properties
- energy relative to the elements, uncorrected (eV per atom) = -0.76
- E_tot (eV per atom) = -3.701
- symmetry = C2/c

***

Record 5
Entry from Alexandria via LeMat-Bulk: a relaxed structure of KGeSe2 (PBE).

The structure in POSCAR format:
```
KGeSe2
1.0
-3.638 3.638 5.364
3.638 -3.638 5.364
3.638 3.638 -5.364
K Ge Se
2 2 4
direct
0.000 0.000 0.000
0.750 0.250 0.500
0.250 0.750 0.500
0.500 0.500 0.000
0.219 0.625 0.094
0.375 0.469 0.594
0.531 0.125 0.906
0.875 0.781 0.406
```

Properties
- energy relative to the elements, uncorrected (eV per atom) = -0.57
- E_tot (eV per atom) = -3.743
- symmetry = I-42d

***

Record 6
Entry from Alexandria via LeMat-Bulk: a relaxed structure of KGeSe2 (PBE).

The structure in POSCAR format:
```
KGeSe2
1.0
1.980 1.143 7.801
-1.980 1.143 7.801
0.000 -2.286 7.801
K Ge Se
1 1 2
direct
0.000 0.000 0.000
0.167 0.167 0.167
0.564 0.564 0.564
0.769 0.769 0.769
```

Properties
- energy relative to the elements, uncorrected (eV per atom) = -0.55
- E_tot (eV per atom) = -3.717
- symmetry = R3m

***

Record 7
Entry from Alexandria via LeMat-Bulk: a relaxed structure of K2GeSe4 (PBE).

The structure in POSCAR format:
```
K2GeSe4
1.0
12.179 0.000 0.000
0.000 8.406 0.000
-2.530 0.000 8.905
K Ge Se
8 4 16
direct
0.045 0.077 0.227
0.045 0.423 0.727
0.342 0.088 0.694
0.342 0.412 0.194
0.658 0.588 0.806
0.658 0.912 0.306
0.955 0.577 0.273
0.955 0.923 0.773
0.257 0.638 0.545
0.257 0.862 0.045
0.743 0.138 0.955
0.743 0.362 0.455
0.124 0.664 0.032
0.124 0.836 0.532
0.200 0.122 0.966
0.200 0.378 0.466
0.359 0.552 0.800
0.359 0.948 0.300
0.421 0.719 0.452
0.421 0.781 0.952
0.579 0.219 0.048
0.579 0.281 0.548
0.641 0.052 0.700
0.641 0.448 0.200
0.800 0.622 0.534
0.800 0.878 0.034
0.876 0.164 0.468
0.876 0.336 0.968
```

Properties
- energy relative to the elements, uncorrected (eV per atom) = -0.76
- E_tot (eV per atom) = -3.726
- symmetry = P2_1/c

***

Record 8
Entry from Alexandria via LeMat-Bulk: a relaxed structure of KGeSe3 (PBE).

The structure in POSCAR format:
```
KGeSe3
1.0
7.651 -2.916 0.000
7.651 2.916 0.000
-1.307 0.000 6.622
K Ge Se
2 2 6
direct
0.211 0.211 0.239
0.789 0.789 0.761
0.500 0.500 0.000
0.500 0.500 0.500
0.150 0.675 0.208
0.325 0.850 0.792
0.372 0.372 0.686
0.628 0.628 0.314
0.675 0.150 0.208
0.850 0.325 0.792
```

Properties
- energy relative to the elements, uncorrected (eV per atom) = -0.44
- E_tot (eV per atom) = -3.677
- symmetry = C2/m

***

Record 9
Entry from Alexandria via LeMat-Bulk: a relaxed structure of K2GeSe3 (PBE).

The structure in POSCAR format:
```
K2GeSe3
1.0
3.553 -7.304 0.000
3.553 7.304 0.000
-0.475 0.000 16.090
K Ge Se
8 4 12
direct
0.021 0.428 0.346
0.165 0.347 0.934
0.347 0.165 0.434
0.428 0.021 0.846
0.572 0.979 0.154
0.653 0.835 0.566
0.835 0.653 0.066
0.979 0.572 0.654
0.267 0.269 0.662
0.269 0.267 0.162
0.731 0.733 0.838
0.733 0.731 0.338
0.041 0.959 0.750
0.119 0.325 0.552
0.172 0.478 0.132
0.325 0.119 0.052
0.414 0.586 0.750
0.478 0.172 0.632
0.522 0.828 0.368
0.586 0.414 0.250
0.675 0.881 0.948
0.828 0.522 0.868
0.881 0.675 0.448
0.959 0.041 0.250
```

Properties
- energy relative to the elements, uncorrected (eV per atom) = -0.84
- E_tot (eV per atom) = -3.717
- symmetry = C2/c

***

Record 10
Entry from Alexandria via LeMat-Bulk: a relaxed structure of KGe2Se2 (PBE).

The structure in POSCAR format:
```
KGe2Se2
1.0
-2.102 2.102 7.271
2.102 -2.102 7.271
2.102 2.102 -7.271
K Ge Se
1 2 2
direct
0.000 0.000 0.000
0.250 0.750 0.500
0.750 0.250 0.500
0.398 0.398 0.000
0.602 0.602 0.000
```

Properties
- energy relative to the elements, uncorrected (eV per atom) = -0.20
- E_tot (eV per atom) = -3.664
- symmetry = I4/mmm

***

Record 11
Entry from Alexandria via LeMat-Bulk: a relaxed structure of KGeSe (PBE).

The structure in POSCAR format:
```
KGeSe
1.0
4.433 0.000 0.000
0.000 4.688 0.000
-0.989 0.000 9.331
K Ge Se
2 2 2
direct
0.000 0.000 0.000
0.467 0.500 0.635
0.522 0.000 0.354
0.658 0.500 0.235
0.484 0.500 0.982
0.959 0.000 0.533
```

Properties
- energy relative to the elements, uncorrected (eV per atom) = -0.57
- E_tot (eV per atom) = -3.634
- symmetry = Pm

***

Record 12
Entry from Alexandria via LeMat-Bulk: a relaxed structure of KGeSe2 (PBE).

The structure in POSCAR format:
```
KGeSe2
1.0
1.963 1.133 9.073
-1.963 1.133 9.073
0.000 -2.267 9.073
K Ge Se
1 1 2
direct
0.000 0.000 0.000
0.500 0.500 0.500
0.112 0.112 0.112
0.888 0.888 0.888
```

Properties
- energy relative to the elements, uncorrected (eV per atom) = -0.29
- E_tot (eV per atom) = -3.460
- symmetry = R-3m

***

| no. | mass density (g/cm3) |
| --- | --- |
| 1 | 3.0 |
| 2 | 3.7 |
| 3 | 3.2 |
| 4 | 3.2 |
| 5 | 3.2 |
| 6 | 4.2 |
| 7 | 3.4 |
| 8 | 3.9 |
| 9 | 3.1 |
| 10 | 4.4 |
| 11 | 3.3 |
| 12 | 3.7 |